[1]
Compound: LiPmSm2S4
Source: Alexandria
Functional: PBE
Structure: relaxed

a = 6.8924 Å, b = 3.9843 Å, c = 6.8940 Å
α = 90.00°, β = 109.44°, γ = 90.00°
Last column: nearest neighbours and their distance in Å.
Fractional positions:
1 Li 0.0000 0.0000 0.0000  6 S 2.76-2.78
2 Pm 0.0000 0.5000 0.5000  6 S 2.82
3 Sm 0.5000 0.0000 0.5000  6 S 2.85-2.87
4 Sm 0.5000 0.5000 0.0000  6 S 2.81
5 S 0.2446 0.5000 0.2433  2 Li 2.78, 3 Sm 2.81-2.85, 1 Pm 2.82
6 S 0.2463 0.0000 0.7565  1 Li 2.76, 3 Sm 2.81-2.87, 2 Pm 2.82
7 S 0.7537 0.0000 0.2435  1 Li 2.76, 3 Sm 2.81-2.87, 2 Pm 2.82
8 S 0.7554 0.5000 0.7567  2 Li 2.78, 3 Sm 2.81-2.85, 1 Pm 2.82

Space group ... No. 10


[2]
Compound: KNpCl6
Source: Alexandria
Functional: PBE
Structure: relaxed

a = 7.7492 Å, b = 7.7492 Å, c = 7.7492 Å
α = 54.86°, β = 54.86°, γ = 54.86°
Last column: nearest neighbours and their distance in Å.
Fractional positions:
1 K 0.0000 0.0000 0.0000  12 Cl 4.00
2 Np 0.5000 0.5000 0.5000  6 Cl 2.52
3 Cl 0.0943 0.5904 0.5904  1 Np 2.52
4 Cl 0.4096 0.4096 0.9057  1 Np 2.52
5 Cl 0.4096 0.9057 0.4096  1 Np 2.52
6 Cl 0.5904 0.0943 0.5904  1 Np 2.52
7 Cl 0.5904 0.5904 0.0943  1 Np 2.52
8 Cl 0.9057 0.4096 0.4096  1 Np 2.52

Space group ... No. 166
Relative energy among the computed polymorphs ... 40.8 meV per atom


[3]
Compound: SrZnGaHg2
Source: Alexandria
Functional: PBE
Structure: relaxed

a = 5.2674 Å, b = 5.2674 Å, c = 4.9302 Å
α = 90.00°, β = 90.00°, γ = 90.00°
Last column: nearest neighbours and their distance in Å.
Fractional positions:
1 Sr 0.0000 0.0000 0.0000  8 Hg 3.61, 4 Ga 3.72
2 Zn 0.5000 0.5000 0.5000  2 Ga 2.47, 4 Hg 2.63
3 Ga 0.5000 0.5000 0.0000  2 Zn 2.47
4 Hg 0.0000 0.5000 0.5000  2 Zn 2.63
5 Hg 0.5000 0.0000 0.5000  2 Zn 2.63

ΔH_f (0 K) ... -0.13 eV/atom
Space group ... No. 123


[4]
Compound: BaTeIr2
Source: Alexandria
Functional: PBE
Structure: relaxed

a = 4.6325 Å, b = 4.6325 Å, c = 4.1562 Å
α = 90.00°, β = 90.00°, γ = 90.00°
Last column: nearest neighbours and their distance in Å.
Fractional positions:
1 Ba 0.0000 0.0000 0.0000  8 Ir 3.11, 4 Te 3.28
2 Te 0.5000 0.5000 0.0000  8 Ir 3.11, 4 Ba 3.28
3 Ir 0.0000 0.5000 0.5000  4 Te 3.11, 4 Ba 3.11, 4 Ir 3.28
4 Ir 0.5000 0.0000 0.5000  4 Te 3.11, 4 Ba 3.11, 4 Ir 3.28

Space group ... No. 123


The records above yield energy values of -6.00; -4.72; -1.45; -5.20 eV/atom, respectively.